(1)
A relaxed structure of BRhSeBr2. Source: Alexandria via LeMat-Bulk, functional PBE-GGA.

Cell lengths 4.566, 4.566, 4.595 Å; angles 90.00, 90.00, 90.00 degrees
Element x y z (fractional)
Br  0.000  0.500  0.000
Br  0.500  0.000  0.000
Se  0.000  0.000  0.500
Rh  0.500  0.500  0.500
B  0.000  0.000  0.000

Computed properties:
Total DFT energy (no corrections) ... -15.69 eV per cell
Uncorrected formation energy ... 1033 meV per atom
Offset from the most stable computed form ... 63 meV/atom
Symmetry ... P4/mmm
Calculated density ... 6.111 Mg/m³
Crystal system ... tetragonal
Total moment ... 1.92 Bohr magnetons per cell
D(E_F) ... 5.6 states/eV/cell

***

(2)
A relaxed structure of TaB2RhBr. Source: Alexandria via LeMat-Bulk, functional PBE-GGA.

Cell lengths 4.354, 4.979, 4.354 Å; angles 90.00, 90.00, 90.00 degrees
Element x y z (fractional)
Br  0.500  0.500  0.500
Rh  0.000  0.500  0.000
Ta  0.000  0.000  0.000
B  0.000  0.000  0.500
B  0.500  0.000  0.000

Computed properties:
Total DFT energy (no corrections) ... -26.68 eV per cell
Uncorrected formation energy ... 1511 meV per atom
Symmetry ... P4/mmm
Calculated density ... 6.778 Mg/m³
Crystal system ... tetragonal
Total moment ... 0.00 Bohr magnetons per cell
D(E_F) ... 4.5 states/eV/cell

***

(3)
A relaxed structure of TlB2RhBr. Source: Alexandria via LeMat-Bulk, functional PBE-GGA.

Cell lengths 4.108, 5.891, 4.108 Å; angles 90.00, 90.00, 90.00 degrees
Element x y z (fractional)
Rh  0.500  0.500  0.500
B  0.000  0.000  0.500
B  0.500  0.000  0.000
Tl  0.000  0.500  0.000
Br  0.000  0.000  0.000

Computed properties:
Total DFT energy (no corrections) ... -14.17 eV per cell
Uncorrected formation energy ... 2115 meV per atom
Symmetry ... P4/mmm
Calculated density ... 6.828 Mg/m³
Crystal system ... tetragonal
Total moment ... 0.00 Bohr magnetons per cell
D(E_F) ... 2.8 states/eV/cell

***

(4)
A relaxed structure of BRuBr2. Source: Alexandria via LeMat-Bulk, functional PBE-GGA.

Cell lengths 4.584, 4.584, 4.584 Å; angles 60.00, 60.00, 60.00 degrees
Element x y z (fractional)
Br  0.750  0.750  0.750
Br  0.250  0.250  0.250
B  0.000  0.000  0.000
Ru  0.500  0.500  0.500

Computed properties:
Total DFT energy (no corrections) ... -13.27 eV per cell
Uncorrected formation energy ... 1507 meV per atom
Offset from the most stable computed form ... 188 meV/atom
Symmetry ... Fm-3m
Calculated density ... 6.623 Mg/m³
Crystal system ... cubic
Total moment ... 0.00 Bohr magnetons per cell
D(E_F) ... 3.3 states/eV/cell

***

(5)
A relaxed structure of BRu3Br. Source: Alexandria via LeMat-Bulk, functional PBE-GGA.

Cell lengths 4.164, 4.164, 4.164 Å; angles 90.00, 90.00, 90.00 degrees
Element x y z (fractional)
Ru  0.500  0.000  0.000
Ru  0.000  0.000  0.500
Ru  0.000  0.500  0.000
B  0.000  0.000  0.000
Br  0.500  0.500  0.500

Computed properties:
Total DFT energy (no corrections) ... -32.28 eV per cell
Uncorrected formation energy ... 780 meV per atom
Offset from the most stable computed form ... 0 meV/atom
Symmetry ... Pm-3m
Calculated density ... 9.062 Mg/m³
Crystal system ... cubic
Total moment ... 0.00 Bohr magnetons per cell
D(E_F) ... 2.6 states/eV/cell

***

(6)
A relaxed structure of BRu2Br. Source: Alexandria via LeMat-Bulk, functional PBE-GGA.

Cell lengths 4.194, 4.194, 4.194 Å; angles 60.00, 60.00, 60.00 degrees
Element x y z (fractional)
Ru  0.250  0.250  0.250
Ru  0.750  0.750  0.750
Br  0.500  0.500  0.500
B  0.000  0.000  0.000

Computed properties:
Total DFT energy (no corrections) ... -22.74 eV per cell
Uncorrected formation energy ... 1039 meV per atom
Offset from the most stable computed form ... 432 meV/atom
Symmetry ... Fm-3m
Calculated density ... 9.326 Mg/m³
Crystal system ... cubic
Total moment ... 0.00 Bohr magnetons per cell
D(E_F) ... 3.2 states/eV/cell

***

(7)
A relaxed structure of BRu2Br. Source: Alexandria via LeMat-Bulk, functional PBE-GGA.

Cell lengths 5.116, 5.116, 6.272 Å; angles 65.93, 65.93, 90.00 degrees
Element x y z (fractional)
B  0.500  0.500  0.000
B  0.250  0.750  0.500
Ru  0.375  0.448  0.750
Ru  0.552  0.125  0.250
Ru  0.198  0.625  0.250
Ru  0.875  0.802  0.750
Br  0.000  0.000  0.000
Br  0.750  0.250  0.500

Computed properties:
Total DFT energy (no corrections) ... -48.95 eV per cell
Uncorrected formation energy ... 607 meV per atom
Offset from the most stable computed form ... 0 meV/atom
Symmetry ... I-42d
Calculated density ... 7.253 Mg/m³
Crystal system ... tetragonal
Total moment ... 0.00 Bohr magnetons per cell
D(E_F) ... 5.0 states/eV/cell

***

(8)
A relaxed structure of B3RuBr. Source: Alexandria via LeMat-Bulk, functional PBE-GGA.

Cell lengths 4.039, 4.039, 4.039 Å; angles 90.00, 90.00, 90.00 degrees
Element x y z (fractional)
B  0.500  0.000  0.000
B  0.000  0.000  0.500
B  0.000  0.500  0.000
Ru  0.500  0.500  0.500
Br  0.000  0.000  0.000

Computed properties:
Total DFT energy (no corrections) ... -17.29 eV per cell
Uncorrected formation energy ... 2738 meV per atom
Offset from the most stable computed form ... 1529 meV/atom
Symmetry ... Pm-3m
Calculated density ... 5.379 Mg/m³
Crystal system ... cubic
Total moment ... 1.60 Bohr magnetons per cell
D(E_F) ... 3.9 states/eV/cell